[1]
This record from Alexandria describes Sr2Ag2Pt after structural relaxation. The functional is PBE-GGA.

Cell: 14.733 4.467 8.324 Å, 90.00 90.36 90.00°
Space group C2/m (No. 12)
Symmetry-distinct sites (fractional):
Sr (0.133, 0.000, 0.488) x4
Sr (0.134, 0.000, 0.010) x4
Ag (0.007, 0.500, 0.249) x4
Ag (0.186, 0.500, 0.749) x4
Pt (0.198, 0.500, 0.250) x4

Calculated values
Distance to the lowest polymorph of the same formula   0 meV/atom
ΔH_f (0 K)   -0.477 eV/atom

***

[2]
This record from Alexandria describes SrAg2Pt after structural relaxation. The functional is PBE-GGA.

Cell: 7.005 7.005 7.005 Å, 90.00 90.00 90.00°
Space group Fm-3m (No. 225)
Symmetry-distinct sites (fractional):
Sr (0.000, 0.000, 0.000) x4
Ag (0.250, 0.250, 0.250) x8
Pt (0.000, 0.000, 0.500) x4

Calculated values
Distance to the lowest polymorph of the same formula   136 meV/atom
ΔH_f (0 K)   -0.189 eV/atom